1.
5
Lattice="5.282 0.000 0.000 0.000 5.282 0.000 0.000 0.000 5.415" Properties=species:S:1:pos:R:3 comment="LaYZn2Si, relaxed, DFT PBE-GGA" de_polymorph_mev_per_atom=402.5 magmom_total_mub_per_atom=0.000 raw_formation_energy_ev_per_atom=0.66 sg="P4/mmm, No. 123" pbc="T T T"
La 0.000 0.000 0.000
Y 2.641 2.641 2.708
Zn 0.000 2.641 0.000
Zn 2.641 0.000 0.000
Si 0.000 0.000 2.708

=====

2.
8
Lattice="5.965 0.000 0.000 0.000 10.394 0.000 0.000 0.000 3.704" Properties=species:S:1:pos:R:3 comment="SrZr2As, relaxed, DFT PBE-GGA" magmom_total_mub_per_atom=0.377 delta_e_f_ev_per_atom=-0.141 sg="Cmmm, No. 65" pbc="T T T"
Sr 0.000 0.000 0.000
Sr 2.983 5.197 0.000
Zr 0.000 3.324 1.852
Zr 0.000 7.070 1.852
Zr 2.983 1.873 1.852
Zr 2.983 8.521 1.852
As 0.000 5.197 0.000
As 2.983 0.000 0.000

=====

3.
9
Lattice="4.746 0.000 0.000 -2.373 4.110 0.000 0.000 0.000 6.498" Properties=species:S:1:pos:R:3 comment="CsBeInH6, relaxed, DFT PBE-GGA" magmom_total_mub_per_atom=0.000 final_energy_ev_per_atom=-2.938 sg="P312, No. 149" pbc="T T T"
Cs 0.000 0.000 0.000
Be 0.000 2.740 3.249
In 2.373 1.370 3.249
H -0.711 1.606 2.249
H -1.337 2.691 4.249
H 0.711 1.606 4.249
H -0.626 3.923 2.249
H 1.337 2.691 2.249
H 0.626 3.923 4.249

=====

4.
16
Lattice="7.887 0.000 0.000 0.000 7.887 0.000 0.000 0.000 7.887" Properties=species:S:1:pos:R:3 comment="PmEu2Al, relaxed, DFT PBE-GGA" de_polymorph_mev_per_atom=124.7 magmom_total_mub_per_atom=3.768 delta_e_f_ev_per_atom=0.054 sg="Fm-3m, No. 225" pbc="T T T"
Pm 0.000 0.000 0.000
Pm 0.000 3.944 3.944
Pm 3.944 0.000 3.944
Pm 3.944 3.944 0.000
Eu 1.972 1.972 1.972
Eu 1.972 1.972 5.915
Eu 1.972 5.915 1.972
Eu 1.972 5.915 5.915
Eu 5.915 1.972 1.972
Eu 5.915 1.972 5.915
Eu 5.915 5.915 1.972
Eu 5.915 5.915 5.915
Al 0.000 0.000 3.944
Al 0.000 3.944 0.000
Al 3.944 0.000 0.000
Al 3.944 3.944 3.944

=====

5.
14
Lattice="5.852 0.000 0.000 0.000 5.852 0.000 0.000 0.000 14.363" Properties=species:S:1:pos:R:3 comment="Ac4Cu2S, relaxed, DFT PBE-GGA" magmom_total_mub_per_atom=0.000 raw_formation_energy_ev_per_atom=-0.44 sg="I4/mmm, No. 139" pbc="T T T"
Ac 0.000 0.000 2.997
Ac 0.000 0.000 11.366
Ac 0.000 2.926 0.000
Ac 0.000 2.926 7.182
Ac 2.926 0.000 0.000
Ac 2.926 0.000 7.182
Ac 2.926 2.926 4.184
Ac 2.926 2.926 10.179
Cu 0.000 0.000 5.934
Cu 0.000 0.000 8.429
Cu 2.926 2.926 1.247
Cu 2.926 2.926 13.116
S 0.000 0.000 0.000
S 2.926 2.926 7.182

=====

6.
10
Lattice="8.002 0.000 0.000 0.000 8.002 0.000 0.000 0.000 2.882" Properties=species:S:1:pos:R:3 comment="ZrNb2Ga2, relaxed, DFT PBE-GGA" de_polymorph_mev_per_atom=278.6 magmom_total_mub_per_atom=0.000 delta_e_f_ev_per_atom=-0.140 sg="P4/mbm, No. 127" pbc="T T T"
Zr 0.000 0.000 0.000
Zr 4.001 4.001 0.000
Nb 0.952 3.049 0.000
Nb 3.049 7.051 0.000
Nb 4.953 0.952 0.000
Nb 7.051 4.953 0.000
Ga 1.421 5.422 1.441
Ga 2.580 1.421 1.441
Ga 5.422 6.581 1.441
Ga 6.581 2.580 1.441

=====

7.
14
Lattice="3.496 0.000 0.000 0.000 4.633 0.000 0.000 0.000 24.503" Properties=species:S:1:pos:R:3 comment="Pm3Sc4, relaxed, DFT PBE-GGA" magmom_total_mub_per_atom=0.000 delta_e_f_ev_per_atom=0.059 sg="Immm, No. 71" pbc="T T T"
Pm 0.000 0.000 0.000
Pm 0.000 0.000 3.533
Pm 0.000 0.000 20.970
Pm 1.748 2.317 8.718
Pm 1.748 2.317 12.252
Pm 1.748 2.317 15.785
Sc 0.000 0.000 6.911
Sc 0.000 0.000 10.471
Sc 0.000 0.000 14.033
Sc 0.000 0.000 17.593
Sc 1.748 2.317 1.781
Sc 1.748 2.317 5.341
Sc 1.748 2.317 19.162
Sc 1.748 2.317 22.722

=====

8.
5
Lattice="5.882 0.000 0.000 0.000 5.882 0.000 0.000 0.000 6.682" Properties=species:S:1:pos:R:3 comment="NaSrLa2Cl, relaxed, DFT PBE-GGA" magmom_total_mub_per_atom=0.000 raw_formation_energy_ev_per_atom=0.43 sg="P4/mmm, No. 123" pbc="T T T"
Na 0.000 0.000 0.000
Sr 0.000 0.000 3.341
La 0.000 2.941 0.000
La 2.941 0.000 0.000
Cl 2.941 2.941 3.341